[1]
VASP calculation (PBE) on an optimized crystal structure of K2IF.

abc: 5.075 5.075 10.162
angles: 90.01 90.01 90.00
Atoms (fractional coordinates):
1 K 0.750 0.750 0.831
2 K 0.750 0.250 0.500
3 K 0.250 0.250 0.169
4 K 0.250 0.750 0.500
5 I 0.250 0.250 0.814
6 I 0.750 0.750 0.186
7 F 0.250 0.250 0.420
8 F 0.750 0.750 0.580

- magnetic moment (μB/atom) = 0.00
- energy relative to the elements, uncorrected (eV/atom) = -2.098
- energy above the most stable polymorph in this dataset (eV per formula unit) = 0.000
- DOS at the Fermi energy (states/eV per atom) = 0.000

[2]
VASP calculation (PBE) on an optimized crystal structure of SrGe4Rh6.

abc: 3.898 7.253 7.253
angles: 120.00 90.00 90.00
Atoms (fractional coordinates):
1 Sr 0.000 0.000 0.000
2 Ge 0.500 0.800 0.600
3 Ge 0.500 0.400 0.200
4 Ge 0.500 0.800 0.200
5 Ge 0.000 0.333 0.667
6 Rh 0.000 0.533 0.067
7 Rh 0.500 0.597 0.799
8 Rh 0.000 0.533 0.467
9 Rh 0.000 0.933 0.467
10 Rh 0.500 0.201 0.799
11 Rh 0.500 0.201 0.403

- magnetic moment (μB/atom) = 0.00
- formation energy from the elements (eV per atom) = -0.66
- DOS at the Fermi energy (states/eV per atom) = 0.399

[3]
VASP calculation (PBE) on an optimized crystal structure of Ac4Tl3Pt.

abc: 3.883 3.883 17.493
angles: 90.00 90.00 90.00
Atoms (fractional coordinates):
1 Ac 0.000 0.000 0.897
2 Ac 0.000 0.000 0.103
3 Ac 0.000 0.000 0.367
4 Ac 0.000 0.000 0.633
5 Tl 0.500 0.500 0.238
6 Tl 0.500 0.500 0.500
7 Tl 0.500 0.500 0.762
8 Pt 0.500 0.500 0.000

- magnetic moment (μB/atom) = 0.00
- formation energy from the elements (eV per atom) = -0.53
- DOS at the Fermi energy (states/eV per atom) = 0.888

[4]
VASP calculation (PBE) on an optimized crystal structure of HfVCr.

abc: 2.969 5.698 6.112
angles: 73.14 78.69 75.66
Atoms (fractional coordinates):
1 Cr 0.137 0.223 0.861
2 Cr 0.260 0.343 0.176
3 Hf 0.749 0.840 0.153
4 Hf 0.934 0.010 0.553
5 V 0.533 0.607 0.853
6 V 0.371 0.484 0.523

- magnetic moment (μB/atom) = 0.00
- formation energy from the elements (eV per atom) = 0.18
- energy above the most stable polymorph in this dataset (eV per formula unit) = 0.748
- DOS at the Fermi energy (states/eV per atom) = 1.127

[5]
VASP calculation (PBE) on an optimized crystal structure of LaEuYTl.

abc: 5.641 5.641 5.641
angles: 60.00 60.00 60.00
Atoms (fractional coordinates):
1 Eu 0.000 0.000 0.000
2 Y 0.750 0.750 0.750
3 Tl 0.500 0.500 0.500
4 La 0.250 0.250 0.250

- magnetic moment (μB/atom) = 2.03
- formation energy from the elements (eV per atom) = -0.09
- DOS at the Fermi energy (states/eV per atom) = 1.636